Compound: Pa3Tl2CrO12
Source: the Alexandria database
Functional: PBE with a Hubbard U
Structure: optimized geometry

Unit cell a=7.678 b=7.678 c=7.678 alpha=62.54 beta=62.54 gamma=62.54
Sites, in units of the cell vectors:
1 O 0.947 0.947 0.275
2 O 0.053 0.725 0.053
3 O 0.068 0.673 0.673
4 O 0.725 0.053 0.053
5 O 0.932 0.327 0.327
6 O 0.275 0.947 0.947
7 O 0.673 0.673 0.068
8 O 0.327 0.932 0.327
9 O 0.673 0.068 0.673
10 O 0.053 0.053 0.725
11 O 0.947 0.275 0.947
12 O 0.327 0.327 0.932
13 Cr 0.000 0.000 0.000
14 Tl 0.396 0.396 0.396
15 Tl 0.604 0.604 0.604
16 Pa 0.000 0.500 0.000
17 Pa 0.000 0.000 0.500
18 Pa 0.500 0.000 0.000

Summary:
Its total energy is -141.75 eV/f.u. The calculation puts the total moment at 0.05 μB per atom.